#A
DFT (GGA-PBE) results for crystalline Pr2SmSc at its relaxed geometry.

Cell: 3.638 3.638 9.807 Å, 90.00 90.00 90.00°
Positions (direct):
Pr: 0.000 0.000 0.235
Pr: 0.000 0.000 0.765
Sm: 0.500 0.500 0.500
Sc: 0.500 0.500 0.000

Calculated values
spin magnetization	0.0	μB/f.u.
crystal system	tetragonal
symmetry	P4/mmm (123)


#B
DFT (GGA-PBE) results for crystalline Pr2SmSc at its relaxed geometry.

Cell: 5.689 5.689 5.689 Å, 60.00 60.00 60.00°
Positions (direct):
Pr: 0.250 0.250 0.250
Pr: 0.750 0.750 0.750
Sm: 0.000 0.000 0.000
Sc: 0.500 0.500 0.500

Calculated values
spin magnetization	0.0	μB/f.u.
crystal system	cubic
symmetry	Fm-3m (225)


It is #B that is the least stable of them.


#A
DFT (GGA-PBE) results for crystalline Pr2SmSc at its relaxed geometry.

Cell: 5.081 5.081 5.006 Å, 90.00 90.00 90.00°
Positions (direct):
Pr: 0.000 0.500 0.000
Pr: 0.500 0.000 0.000
Sm: 0.000 0.000 0.500
Sc: 0.500 0.500 0.500

Calculated values
spin magnetization	0.0	μB/f.u.
crystal system	tetragonal
symmetry	P4/mmm (123)


#B
DFT (GGA-PBE) results for crystalline Pr2SmSc at its relaxed geometry.

Cell: 7.114 7.114 6.155 Å, 105.28 105.28 60.85°
Positions (direct):
Pr: 0.121 0.628 0.751
Pr: 0.372 0.879 0.249
Pr: 0.628 0.121 0.751
Pr: 0.879 0.372 0.249
Sm: 0.374 0.374 0.245
Sm: 0.626 0.626 0.755
Sc: 0.123 0.123 0.743
Sc: 0.877 0.877 0.257

Calculated values
spin magnetization	0.0	μB/f.u.
crystal system	monoclinic
symmetry	C2/m (12)


It is #B that is the least stable of them.


#A
DFT (GGA-PBE) results for crystalline Pr2SmSc at its relaxed geometry.

Cell: 11.774 11.774 11.774 Å, 17.59 17.59 17.59°
Positions (direct):
Pr: 0.000 0.000 0.000
Pr: 0.174 0.174 0.174
Sm: 0.755 0.755 0.755
Sc: 0.587 0.587 0.587

Calculated values
spin magnetization	0.0	μB/f.u.
crystal system	trigonal
symmetry	R3m (160)


#B
DFT (GGA-PBE) results for crystalline Pr2SmSc at its relaxed geometry.

Cell: 11.706 11.706 11.706 Å, 17.69 17.69 17.69°
Positions (direct):
Pr: 0.246 0.246 0.246
Pr: 0.754 0.754 0.754
Sm: 0.000 0.000 0.000
Sc: 0.500 0.500 0.500

Calculated values
spin magnetization	0.0	μB/f.u.
crystal system	trigonal
symmetry	R-3m (166)


It is #A that is the least stable of them.